Entry 1:
Entry from the Alexandria database: a relaxed La2Nd4Sb3N2 crystal (GGA-PBE).

Unit cell a=4.8586 b=4.8586 c=26.2828 alpha=90.00 beta=90.00 gamma=90.00
Space group I4/mmm (No. 139)
Asymmetric unit:
1 La 0.0000 0.0000 0.1915
2 Nd 0.0000 0.5000 0.0817
3 Sb 0.0000 0.0000 0.3240
4 Sb 0.0000 0.0000 0.5000
5 N 0.0000 0.0000 0.1041

ΔE_f (raw) = -1192 meV per atom
Energy = -6.460 eV/atom
Total magnetic moment = 0.00 Bohr magnetons per cell


Entry 2:
Entry from the Alexandria database: a relaxed LaNd2SbN4 crystal (GGA-PBE).

Unit cell a=3.7662 b=12.1021 c=12.3678 alpha=90.00 beta=90.00 gamma=90.00
Space group Cmcm (No. 63)
Asymmetric unit:
1 La 0.0000 0.1056 0.2500
2 Nd 0.0000 0.3710 0.0380
3 Sb 0.0000 0.1560 0.7500
4 N 0.0000 0.0000 0.0000
5 N 0.0000 0.2779 0.6316
6 N 0.0000 0.4307 0.2500

ΔE_f (raw) = -674 meV per atom
Energy = -7.160 eV/atom
Total magnetic moment = 0.00 Bohr magnetons per cell


Entry 3:
Entry from the Alexandria database: a relaxed La4Nd2Sb3N2 crystal (GGA-PBE).

Unit cell a=4.8593 b=4.8593 c=26.6132 alpha=90.00 beta=90.00 gamma=90.00
Space group I4/mmm (No. 139)
Asymmetric unit:
1 La 0.0000 0.5000 0.0841
2 Nd 0.0000 0.0000 0.1948
3 Sb 0.0000 0.0000 0.3199
4 Sb 0.0000 0.0000 0.5000
5 N 0.0000 0.0000 0.1073

ΔE_f (raw) = -1183 meV per atom
Energy = -6.480 eV/atom
Total magnetic moment = 0.00 Bohr magnetons per cell


Entry 4:
Entry from the Alexandria database: a relaxed La2NdSiN4 crystal (GGA-PBE).

Unit cell a=3.5166 b=11.7671 c=12.4419 alpha=90.00 beta=90.00 gamma=90.00
Space group Cmcm (No. 63)
Asymmetric unit:
1 La 0.0000 0.1343 0.0439
2 Nd 0.0000 0.4051 0.2500
3 Si 0.0000 0.3169 0.7500
4 N 0.0000 0.0987 0.2500
5 N 0.0000 0.2225 0.6414
6 N 0.0000 0.5000 0.0000

ΔE_f (raw) = -1094 meV per atom
Energy = -7.763 eV/atom
Total magnetic moment = 0.00 Bohr magnetons per cell


Entry 5:
Entry from the Alexandria database: a relaxed LaNd2SiN4 crystal (GGA-PBE).

Unit cell a=3.5083 b=11.8565 c=12.0944 alpha=90.00 beta=90.00 gamma=90.00
Space group Cmcm (No. 63)
Asymmetric unit:
1 La 0.0000 0.0909 0.2500
2 Nd 0.0000 0.3674 0.0432
3 Si 0.0000 0.1816 0.7500
4 N 0.0000 0.0000 0.0000
5 N 0.0000 0.2717 0.6362
6 N 0.0000 0.4006 0.2500

ΔE_f (raw) = -1164 meV per atom
Energy = -7.812 eV/atom
Total magnetic moment = 0.00 Bohr magnetons per cell


Entry 6:
Entry from the Alexandria database: a relaxed LaNdSm2N4 crystal (GGA-PBE).

Unit cell a=6.3127 b=3.6443 c=6.3171 alpha=90.00 beta=109.41 gamma=90.00
Space group P2/m (No. 10)
Asymmetric unit:
1 La 0.0000 0.0000 0.0000
2 Nd 0.5000 0.5000 0.0000
3 Sm 0.0000 0.5000 0.5000
4 Sm 0.5000 0.0000 0.5000
5 N 0.2499 0.0000 0.7450
6 N 0.2541 0.5000 0.2568

ΔE_f (raw) = -1401 meV per atom
Energy = -7.956 eV/atom
Total magnetic moment = 0.00 Bohr magnetons per cell


Entry 7:
Entry from the Alexandria database: a relaxed LaNdSmN3 crystal (GGA-PBE).

Unit cell a=6.2808 b=3.6324 c=9.4231 alpha=90.00 beta=101.41 gamma=90.00
Space group P2_1/m (No. 11)
Asymmetric unit:
1 La 0.1561 0.2500 0.1984
2 Nd 0.2714 0.7500 0.5450
3 Sm 0.3471 0.2500 0.8611
4 N 0.0298 0.2500 0.6766
5 N 0.2530 0.7500 0.9923
6 N 0.4720 0.7500 0.3478

ΔE_f (raw) = -1253 meV per atom
Energy = -7.818 eV/atom
Total magnetic moment = 0.00 Bohr magnetons per cell


Entry 8:
Entry from the Alexandria database: a relaxed La2NdSnN4 crystal (GGA-PBE).

Unit cell a=3.7197 b=12.1548 c=12.6222 alpha=90.00 beta=90.00 gamma=90.00
Space group Cmcm (No. 63)
Asymmetric unit:
1 La 0.0000 0.1288 0.0377
2 Nd 0.0000 0.3879 0.2500
3 Sn 0.0000 0.3473 0.7500
4 N 0.0000 0.0572 0.2500
5 N 0.0000 0.2251 0.6304
6 N 0.0000 0.5000 0.0000

ΔE_f (raw) = -763 meV per atom
Energy = -7.254 eV/atom
Total magnetic moment = 0.00 Bohr magnetons per cell


Entry 9:
Entry from the Alexandria database: a relaxed LaNd2SnN crystal (GGA-PBE).

Unit cell a=5.0426 b=5.0426 c=5.0540 alpha=90.00 beta=90.00 gamma=90.00
Space group P4/mmm (No. 123)
Asymmetric unit:
1 La 0.0000 0.0000 0.0000
2 Nd 0.0000 0.5000 0.5000
3 Sn 0.5000 0.5000 0.0000
4 N 0.0000 0.0000 0.5000

ΔE_f (raw) = -975 meV per atom
Energy = -6.333 eV/atom
Total magnetic moment = 0.00 Bohr magnetons per cell


Entry 10:
Entry from the Alexandria database: a relaxed La2Nd4Sn3N2 crystal (GGA-PBE).

Unit cell a=4.9324 b=4.9324 c=26.0922 alpha=90.00 beta=90.00 gamma=90.00
Space group I4/mmm (No. 139)
Asymmetric unit:
1 La 0.0000 0.0000 0.1923
2 Nd 0.0000 0.5000 0.0834
3 Sn 0.0000 0.0000 0.3260
4 Sn 0.0000 0.0000 0.5000
5 N 0.0000 0.0000 0.1035

ΔE_f (raw) = -969 meV per atom
Energy = -6.204 eV/atom
Total magnetic moment = 0.00 Bohr magnetons per cell


Entry 11:
Entry from the Alexandria database: a relaxed LaNd2SnN4 crystal (GGA-PBE).

Unit cell a=3.6878 b=12.1659 c=12.4537 alpha=90.00 beta=90.00 gamma=90.00
Space group Cmcm (No. 63)
Asymmetric unit:
1 La 0.0000 0.1099 0.2500
2 Nd 0.0000 0.3709 0.0377
3 Sn 0.0000 0.1542 0.7500
4 N 0.0000 0.0000 0.0000
5 N 0.0000 0.2730 0.6272
6 N 0.0000 0.4396 0.2500

ΔE_f (raw) = -795 meV per atom
Energy = -7.266 eV/atom
Total magnetic moment = 0.00 Bohr magnetons per cell


Entry 12:
Entry from the Alexandria database: a relaxed LaNdSnN3 crystal (GGA-PBE).

Unit cell a=6.8069 b=3.4703 c=9.8732 alpha=90.00 beta=92.24 gamma=90.00
Space group P2_1/m (No. 11)
Asymmetric unit:
1 La 0.1929 0.2500 0.2424
2 Nd 0.3316 0.7500 0.8881
3 Sn 0.1775 0.2500 0.5899
4 N 0.0954 0.2500 0.8030
5 N 0.1598 0.7500 0.4541
6 N 0.3892 0.7500 0.1256

ΔE_f (raw) = -634 meV per atom
Energy = -7.079 eV/atom
Total magnetic moment = 0.00 Bohr magnetons per cell